Computed, not measured: a relaxed HgBN crystal at the PBE level of DFT.

Cell and atoms, written as POSCAR:
```
HgBN
1.0
2.7397 0.0000 0.0000
0.0000 6.4494 0.1738
-1.3698 -1.7203 7.3712
B Hg N
2 2 2
direct
0.7329 0.3992 0.4658 B
0.2671 0.6008 0.5342 B
0.9757 0.2358 0.9515 Hg
0.0243 0.7642 0.0485 Hg
0.2229 0.3452 0.4458 N
0.7771 0.6548 0.5542 N
```

Summary:
ΔE_f (raw) = -90 meV/atom
DFT total energy = -5.191 eV per atom
D(E_F) = 0.5 states/eV/f.u.
Calculated volume = 21.8 Å³/atom
Symmetry = No. 12
Size of the total moment = 0.00 μB/f.u.